This record from Alexandria describes an optimized crystal structure of Rh3SeF. The functional is PBE.

For the formation energy from raw total energies, the calculation gives 67.6 kJ per mole of atoms. The value obtained for the spin magnetization is 2.75 μB per cell. The value obtained for the energy above the lowest structure with this stoichiometry is 0.106 eV/atom.

The structure belongs to space group Pm-3m (No. 221); the cell edges are 4.3183, 4.3183 and 4.3183 Å and the angles 90.00°, 90.00° and 90.00°. Symmetry generates all atoms from Rh at (0.0000, 0.0000, 0.5000), Se at (0.5000, 0.5000, 0.5000) and F at (0.0000, 0.0000, 0.0000).